Computed, not measured: an optimized crystal structure of SrLaV2F at the GGA+U level of DFT.

The structure in POSCAR format:
```
SrLaV2F
1.0
5.186 0.000 0.000
0.000 5.186 0.000
0.000 0.000 4.880
Sr La V F
1 1 2 1
Direct
0.000 0.000 0.000
0.500 0.500 0.000
0.000 0.500 0.500
0.500 0.000 0.500
0.000 0.000 0.500
```

Properties
Total DFT energy (no corrections) in eV per atom: -4.65
Symmetry: P4/mmm, No. 123